{"formula": "Pm7Nd3Tm2", "functional": "PBE-GGA", "state": "relaxed", "lattice_angstrom": [[6.4548, 0.0000, 1.4193], [3.0714, 5.6773, 1.4193], [0.7545, 0.4496, 11.9560]], "species": ["Pm", "Pm", "Pm", "Pm", "Pm", "Pm", "Pm", "Nd", "Nd", "Nd", "Tm", "Tm"], "fractional_positions": [[0.5000, 0.5000, 0.5000], [0.0798, 0.5852, 0.7498], [0.5852, 0.5852, 0.7498], [0.5852, 0.0798, 0.7498], [0.9202, 0.4148, 0.2502], [0.4148, 0.9202, 0.2502], [0.4148, 0.4148, 0.2502], [0.0000, 0.0000, 0.0000], [0.1536, 0.1536, 0.5391], [0.8464, 0.8464, 0.4609], [0.3337, 0.3337, 0.9988], [0.6663, 0.6663, 0.0012]], "total_magnetization_mub_per_fu": 0.0, "delta_e_f_kj_per_mol_atoms": 26.9, "sg": "R-3m, No. 166", "dos_at_fermi_per_ev_fu": 20.52, "crystal_system": "trigonal", "relative_energy_mev_per_atom": 190}